No. 1
## ScFeSi2 (PBE)

Data for crystalline ScFeSi2 at its relaxed geometry.

Cell: 3.048 3.048 6.118 Å, 90.00 90.00 90.00°
Space group P4mm (No. 99)
Symmetry-distinct sites (fractional):
Sc1 0.000 0.000 0.000 x1
Fe1 0.500 0.500 0.687 x1
Si1 0.000 0.000 0.529 x1
Si2 0.500 0.500 0.296 x1

Computed properties:
The density is 4.59 Mg/m³. As for the total magnetization: 0.25 μB/cell. The total energy is -6.75 eV/atom.

No. 2
## ZnBr (PBE)

Data for crystalline ZnBr at its relaxed geometry.

Cell: 7.963 7.963 7.963 Å, 90.00 90.00 90.00°
Space group Pm-3n (No. 223)
Symmetry-distinct sites (fractional):
Zn1 0.000 0.250 0.500 x6
Br1 0.000 0.500 0.250 x6

Computed properties:
The density is 2.87 Mg/m³. As for the total magnetization: 0.00 μB/cell. The total energy is -1.50 eV/atom.

No. 3
## KCd6In2 (PBE)

Data for crystalline KCd6In2 at its relaxed geometry.

Cell: 4.629 4.629 11.036 Å, 90.00 90.00 90.00°
Space group P4/mmm (No. 123)
Symmetry-distinct sites (fractional):
K1 0.000 0.000 0.000 x1
Cd1 0.000 0.000 0.500 x1
Cd2 0.000 0.500 0.306 x4
Cd3 0.500 0.500 0.500 x1
In1 0.500 0.500 0.137 x2

Computed properties:
The density is 6.62 Mg/m³. As for the total magnetization: 0.00 μB/cell. As for the formation energy: -1.0 kcal/mol of atoms.

No. 4
## HoTmGeAu (PBE)

Data for crystalline HoTmGeAu at its relaxed geometry.

Cell: 7.122 7.122 7.122 Å, 90.00 90.00 90.00°
Space group F-43m (No. 216)
Symmetry-distinct sites (fractional):
Ho1 0.000 0.000 0.000 x4
Tm1 0.000 0.000 0.500 x4
Ge1 0.250 0.250 0.750 x4
Au1 0.250 0.250 0.250 x4

Computed properties:
The density is 11.10 Mg/m³. As for the total magnetization: 0.72 μB/cell. As for the formation energy: -17.2 kcal/mol of atoms. The calculation puts the offset from the most stable computed form at 2.76 kcal/mol of atoms.

No. 5
## Re2HgAs (PBE)

Data for crystalline Re2HgAs at its relaxed geometry.

Cell: 3.000 5.038 8.948 Å, 90.00 90.00 90.00°
Space group Cmmm (No. 65)
Symmetry-distinct sites (fractional):
Re1 0.000 0.000 0.219 x4
Hg1 0.000 0.500 0.500 x2
As1 0.000 0.500 0.000 x2

Computed properties:
The density is 15.91 Mg/m³. As for the total magnetization: 0.00 μB/cell. As for the formation energy: 18.4 kcal/mol of atoms. The calculation puts the offset from the most stable computed form at 11.98 kcal/mol of atoms.

No. 6
## Si2Te3 (PBE)

Data for crystalline Si2Te3 at its relaxed geometry.

Cell: 11.722 12.653 7.317 Å, 90.00 90.00 90.00°
Space group Fdd2 (No. 43)
Symmetry-distinct sites (fractional):
Si1 0.049 0.377 0.000 x16
Te1 0.000 0.000 0.815 x8
Te2 0.085 0.297 0.638 x16

Computed properties:
The density is 5.37 Mg/m³. As for the total magnetization: 0.00 μB/cell. The total energy is -3.90 eV/atom.

No. 7
## Sc3TlSb (PBE)

Data for crystalline Sc3TlSb at its relaxed geometry.

Cell: 15.538 4.478 7.311 Å, 90.00 103.76 90.00°
Space group Cm (No. 8)
Symmetry-distinct sites (fractional):
Sc1 0.000 0.000 0.000 x2
Sc2 0.006 0.000 0.513 x2
Sc3 0.153 0.500 0.451 x2
Sc4 0.194 0.000 0.825 x2
Sc5 0.312 0.500 0.186 x2
Sc6 0.349 0.000 0.548 x2
Tl1 0.059 0.500 0.787 x2
Tl2 0.188 0.000 0.233 x2
Sb1 0.313 0.500 0.779 x2
Sb2 0.451 0.000 0.239 x2

Computed properties:
The density is 6.20 Mg/m³. As for the total magnetization: 0.00 μB/cell. The calculation puts the offset from the most stable computed form at 0.00 kcal/mol of atoms.

No. 8
## ErZn2Hg (PBE)

Data for crystalline ErZn2Hg at its relaxed geometry.

Cell: 3.443 3.443 6.930 Å, 90.00 90.00 90.00°
Space group P4/mmm (No. 123)
Symmetry-distinct sites (fractional):
Er1 0.000 0.000 0.000 x1
Zn1 0.500 0.500 0.267 x2
Hg1 0.000 0.000 0.500 x1

Computed properties:
The density is 10.08 Mg/m³. As for the total magnetization: 0.16 μB/cell. As for the formation energy: -3.2 kcal/mol of atoms. The calculation puts the offset from the most stable computed form at 3.28 kcal/mol of atoms.

No. 9
## Dy2BeZnIr2 (PBE)

Data for crystalline Dy2BeZnIr2 at its relaxed geometry.

Cell: 5.740 13.444 5.690 Å, 90.00 90.00 90.00°
Space group Ibam (No. 72)
Symmetry-distinct sites (fractional):
Dy1 0.229 0.170 0.000 x8
Be1 0.000 0.500 0.250 x4
Zn1 0.000 0.000 0.250 x4
Ir1 0.210 0.391 0.000 x8

Computed properties:
The density is 11.86 Mg/m³. As for the total magnetization: 0.00 μB/cell. As for the formation energy: -15.0 kcal/mol of atoms.

No. 10
## TlSiAg (PBE)

Data for crystalline TlSiAg at its relaxed geometry.

Cell: 3.792 6.116 6.387 Å, 80.04 89.75 72.24°
Space group P-1 (No. 2)
Symmetry-distinct sites (fractional):
Tl1 0.144 0.206 0.070 x2
Si1 0.309 0.881 0.492 x2
Ag1 0.479 0.541 0.277 x2

Computed properties:
The density is 8.15 Mg/m³. As for the total magnetization: 0.00 μB/cell. The total energy is -3.31 eV/atom.

No. 11
## Cs4Pa3SnO12 (PBE)

Data for crystalline Cs4Pa3SnO12 at its relaxed geometry.

Cell: 8.831 8.831 8.831 Å, 90.00 90.00 90.00°
Space group Im-3m (No. 229)
Symmetry-distinct sites (fractional):
Cs1 0.250 0.250 0.250 x8
Pa1 0.000 0.000 0.500 x6
Sn1 0.000 0.000 0.000 x2
O1 0.000 0.000 0.249 x12
O2 0.000 0.250 0.500 x12

Computed properties:
The density is 7.40 Mg/m³. As for the total magnetization: 2.19 μB/cell. The total energy is -7.35 eV/atom.

No. 12
## AgWS3 (PBE)

Data for crystalline AgWS3 at its relaxed geometry.

Cell: 4.718 4.718 4.718 Å, 90.00 90.00 90.00°
Space group Pm-3m (No. 221)
Symmetry-distinct sites (fractional):
Ag1 0.000 0.000 0.000 x1
W1 0.500 0.500 0.500 x1
S1 0.000 0.000 0.500 x3

Computed properties:
The density is 6.14 Mg/m³. As for the total magnetization: 2.69 μB/cell. The total energy is -4.14 eV/atom.

No. 13
## K5Sc4 (PBE)

Data for crystalline K5Sc4 at its relaxed geometry.

Cell: 11.5980 11.5980 6.9870 Å, 90.00 90.00 120.00°
Space group P6_3/mcm (No. 193)
Symmetry-distinct sites (fractional):
K1 0.0000 0.3672 0.2500 x6
K2 0.3333 0.6667 0.0000 x4
Sc1 0.0000 0.0000 0.0000 x2
Sc2 0.0000 0.1982 0.7500 x6

Computed properties:
The density is 1.53 Mg/m³. As for the total magnetization: 0.00 μB/cell. As for the formation energy: 13.5 kcal/mol of atoms.

No. 14
## HgPbAu2 (PBE)

Data for crystalline HgPbAu2 at its relaxed geometry.

Cell: 7.653 3.987 6.834 Å, 90.00 107.38 90.00°
Space group C2/m (No. 12)
Symmetry-distinct sites (fractional):
Hg1 0.000 0.000 0.000 x2
Pb1 0.000 0.500 0.500 x2
Au1 0.248 0.500 0.236 x4

Computed properties:
The density is 13.38 Mg/m³. As for the total magnetization: 0.00 μB/cell. As for the formation energy: 0.4 kcal/mol of atoms. The calculation puts the offset from the most stable computed form at 0.66 kcal/mol of atoms.

No. 15
## Mg5CdBi3 (PBE)

Data for crystalline Mg5CdBi3 at its relaxed geometry.

Cell: 12.829 8.674 11.005 Å, 90.00 109.99 90.00°
Space group C2/m (No. 12)
Symmetry-distinct sites (fractional):
Mg1 0.000 0.174 0.000 x4
Mg2 0.091 0.000 0.412 x4
Mg3 0.102 0.315 0.759 x8
Mg4 0.245 0.500 0.024 x4
Cd1 0.115 0.500 0.303 x4
Bi1 0.000 0.500 0.000 x2
Bi2 0.000 0.500 0.500 x2
Bi3 0.153 0.000 0.694 x4
Bi4 0.177 0.000 0.202 x4

Computed properties:
The density is 4.97 Mg/m³. As for the total magnetization: 0.00 μB/cell. As for the formation energy: 1.1 kcal/mol of atoms.

No. 16
## Al2ZnBIr (PBE)

Data for crystalline Al2ZnBIr at its relaxed geometry.

Cell: 4.497 4.497 4.618 Å, 90.00 90.00 90.00°
Space group P4/mmm (No. 123)
Symmetry-distinct sites (fractional):
Al1 0.000 0.500 0.000 x2
Zn1 0.000 0.000 0.000 x1
B1 0.500 0.500 0.500 x1
Ir1 0.000 0.000 0.500 x1

Computed properties:
The density is 5.73 Mg/m³. As for the total magnetization: 0.00 μB/cell. As for the formation energy: 35.3 kcal/mol of atoms.

No. 17
## Ce2Be3GaPt4 (PBE)

Data for crystalline Ce2Be3GaPt4 at its relaxed geometry.

Cell: 4.078 4.078 10.007 Å, 90.00 90.00 90.00°
Space group P-4m2 (No. 115)
Symmetry-distinct sites (fractional):
Ce1 0.000 0.500 0.247 x2
Be1 0.000 0.500 0.883 x2
Be2 0.500 0.500 0.500 x1
Ga1 0.000 0.000 0.500 x1
Pt1 0.000 0.000 0.000 x1
Pt2 0.000 0.500 0.647 x2
Pt3 0.500 0.500 0.000 x1

Computed properties:
The density is 11.55 Mg/m³. As for the total magnetization: 1.37 μB/cell. As for the formation energy: -19.7 kcal/mol of atoms.

No. 18
## Ni4B2W (PBE)

Data for crystalline Ni4B2W at its relaxed geometry.

Cell: 3.341 12.325 3.346 Å, 90.00 90.00 90.00°
Space group Cmmm (No. 65)
Symmetry-distinct sites (fractional):
Ni1 0.000 0.171 0.000 x4
Ni2 0.000 0.327 0.500 x4
B1 0.000 0.429 0.000 x4
W1 0.000 0.000 0.500 x2

Computed properties:
The density is 10.61 Mg/m³. As for the total magnetization: 0.00 μB/cell. As for the formation energy: -4.1 kcal/mol of atoms.

No. 19
## Cd2CoSe (PBE)

Data for crystalline Cd2CoSe at its relaxed geometry.

Cell: 3.1624 3.1624 26.6437 Å, 90.00 90.00 120.00°
Space group R-3m (No. 166, hexagonal axes)
Symmetry-distinct sites (fractional):
Cd1 0.0000 0.0000 0.2422 x6
Co1 0.0000 0.0000 0.5000 x3
Se1 0.0000 0.0000 0.0000 x3

Computed properties:
The density is 7.83 Mg/m³. As for the total magnetization: 4.45 μB/cell. The total energy is -2.76 eV/atom.

No. 20
## GaTePd6 (PBE)

Data for crystalline GaTePd6 at its relaxed geometry.

Cell: 4.025 4.025 7.922 Å, 90.00 90.00 90.00°
Space group P4/mmm (No. 123)
Symmetry-distinct sites (fractional):
Ga1 0.000 0.000 0.000 x1
Te1 0.000 0.000 0.500 x1
Pd1 0.000 0.500 0.239 x4
Pd2 0.500 0.500 0.000 x1
Pd3 0.500 0.500 0.500 x1

Computed properties:
The density is 10.82 Mg/m³. As for the total magnetization: 0.00 μB/cell. The calculation puts the offset from the most stable computed form at 0.00 kcal/mol of atoms.

No. 21
## HgIr2Au (PBE)

Data for crystalline HgIr2Au at its relaxed geometry.

Cell: 2.788 4.944 10.051 Å, 90.00 90.00 90.00°
Space group Cmm2 (No. 35)
Symmetry-distinct sites (fractional):
Hg1 0.000 0.000 0.000 x2
Ir1 0.000 0.000 0.522 x2
Ir2 0.000 0.500 0.743 x2
Au1 0.000 0.500 0.275 x2

Computed properties:
The density is 18.75 Mg/m³. As for the total magnetization: 0.00 μB/cell. As for the formation energy: 9.5 kcal/mol of atoms.

No. 22
## Pm2PrDyTh (PBE)

Data for crystalline Pm2PrDyTh at its relaxed geometry.

Cell: 8.644 6.491 6.427 Å, 90.00 98.44 90.00°
Space group P2/c (No. 13)
Symmetry-distinct sites (fractional):
Pm1 0.185 0.188 0.298 x4
Pr1 0.500 0.500 0.000 x2
Dy1 0.000 0.329 0.750 x2
Th1 0.500 0.048 0.750 x2

Computed properties:
The density is 7.69 Mg/m³. As for the total magnetization: 0.00 μB/cell. As for the formation energy: 7.2 kcal/mol of atoms.

No. 23
## Ca2GaC (PBE)

Data for crystalline Ca2GaC at its relaxed geometry.

Cell: 6.867 6.867 6.867 Å, 90.00 90.00 90.00°
Space group Fm-3m (No. 225)
Symmetry-distinct sites (fractional):
Ca1 0.250 0.250 0.250 x8
Ga1 0.000 0.000 0.000 x4
C1 0.000 0.000 0.500 x4

Computed properties:
The density is 3.32 Mg/m³. As for the total magnetization: 0.00 μB/cell. As for the formation energy: 12.7 kcal/mol of atoms. The calculation puts the offset from the most stable computed form at 1.12 kcal/mol of atoms.

No. 24
## K2Ge2Te7 (PBE)

Data for crystalline K2Ge2Te7 at its relaxed geometry.

Cell: 12.748 9.980 7.933 Å, 90.00 123.71 90.00°
Space group C2/m (No. 12)
Symmetry-distinct sites (fractional):
K1 0.000 0.243 0.000 x4
Ge1 0.201 0.000 0.932 x4
Te1 0.000 0.000 0.500 x2
Te2 0.146 0.357 0.716 x8
Te3 0.216 0.500 0.307 x4

Computed properties:
The density is 4.42 Mg/m³. As for the total magnetization: 0.00 μB/cell. The total energy is -3.22 eV/atom.